## NaGa4Au6 (PBE)

Data for NaGa4Au6 after structural relaxation.

Results
Energy relative to the elements   -0.220 eV/atom
DFT total energy   -3.228 eV per atom
Energy relative to the lowest polymorph listed for this composition   0 meV per atom

a = 7.2186 Å, b = 7.2186 Å, c = 4.9941 Å
α = 90.00°, β = 90.00°, γ = 120.00°
Closest atoms and distances in Å follow each position.
Space group P-6 (No. 174)
Symmetry-distinct sites (fractional):
1 Na 0.0000 0.0000 0.0000 [1 per cell]  9 Au 3.01-3.36
2 Ga 0.0089 0.5910 0.5000 [3 per cell]  5 Au 2.56-2.69
3 Ga 0.6667 0.3333 0.0000 [1 per cell]  3 Au 2.55
4 Au 0.0724 0.4971 0.0000 [3 per cell]  3 Ga 2.55-2.69
5 Au 0.2355 0.0054 0.5000 [3 per cell]  3 Ga 2.56-2.59

***

## PrHgGe2 (PBE)

Data for PrHgGe2 after structural relaxation.

Results
Energy relative to the elements   0.155 eV/atom
DFT total energy   -3.424 eV per atom

a = 5.0569 Å, b = 5.0569 Å, c = 20.1303 Å
α = 90.00°, β = 90.00°, γ = 120.00°
Closest atoms and distances in Å follow each position.
Space group R-3m (No. 166, hexagonal axes)
Symmetry-distinct sites (fractional):
1 Pr 0.0000 0.0000 0.0000 [3 per cell]  6 Ge 3.01
2 Hg 0.0000 0.0000 0.5000 [3 per cell]  2 Ge 2.63
3 Ge 0.0000 0.0000 0.3696 [6 per cell]  1 Hg 2.63